# SrInP2Os (PBE, relaxed)
data_SrInP2Os
_cell_length_a 4.9602
_cell_length_b 4.9602
_cell_length_c 6.1709
_cell_angle_alpha 90.00
_cell_angle_beta 90.00
_cell_angle_gamma 90.00
_space_group_name_H-M_alt 'P 4/m m m'
_space_group_IT_number 123
_space_group_name_Hall '-P 4 2'
loop_
_atom_site_label
_atom_site_fract_x
_atom_site_fract_y
_atom_site_fract_z
Sr1 0.0000 0.0000 0.0000
In1 0.0000 0.0000 0.5000
P1 0.0000 0.5000 0.5000
Os1 0.5000 0.5000 0.0000
# Fermi-level density of states: 3.76 states/eV/f.u.
# Theoretical density: 5.0 g/cm³
# Raw total energy: -18.40 eV for the cell shown

=====

# TaInPOs2 (PBE, relaxed)
data_TaInPOs2
_cell_length_a 4.3170
_cell_length_b 4.3170
_cell_length_c 4.9607
_cell_angle_alpha 90.00
_cell_angle_beta 90.00
_cell_angle_gamma 90.00
_space_group_name_H-M_alt 'P 4/m m m'
_space_group_IT_number 123
_space_group_name_Hall '-P 4 2'
loop_
_atom_site_label
_atom_site_fract_x
_atom_site_fract_y
_atom_site_fract_z
Ta1 0.0000 0.0000 0.0000
In1 0.5000 0.5000 0.0000
P1 0.5000 0.5000 0.5000
Os1 0.0000 0.5000 0.5000
# Fermi-level density of states: 2.11 states/eV/f.u.
# Theoretical density: 12.7 g/cm³
# Raw total energy: -37.41 eV for the cell shown

=====

# PaInOs (PBE, relaxed)
data_PaInOs
_cell_length_a 3.2069
_cell_length_b 3.2069
_cell_length_c 12.2462
_cell_angle_alpha 90.00
_cell_angle_beta 90.00
_cell_angle_gamma 90.00
_space_group_name_H-M_alt 'I 4 m m'
_space_group_IT_number 107
_space_group_name_Hall 'I 4 -2'
loop_
_atom_site_label
_atom_site_fract_x
_atom_site_fract_y
_atom_site_fract_z
Pa1 0.0000 0.0000 0.0000
In1 0.0000 0.0000 0.7081
Os1 0.0000 0.0000 0.3578
# Fermi-level density of states: 1.73 states/eV/f.u.
# Theoretical density: 14.1 g/cm³
# Raw total energy: -47.62 eV for the cell shown

=====

# Pa2InOs (PBE, relaxed)
data_Pa2InOs
_cell_length_a 3.7073
_cell_length_b 3.7073
_cell_length_c 29.9998
_cell_angle_alpha 90.00
_cell_angle_beta 90.00
_cell_angle_gamma 120.00
_space_group_name_H-M_alt 'R -3 m'
_space_group_IT_number 166
_space_group_name_Hall '-R 3 2"'
loop_
_atom_site_label
_atom_site_fract_x
_atom_site_fract_y
_atom_site_fract_z
Pa1 0.0000 0.0000 0.1100
In1 0.0000 0.0000 0.0000
Os1 0.0000 0.0000 0.5000
# Fermi-level density of states: 7.16 states/eV/f.u.
# Excess energy over the best structure of this formula in the dataset: 365.6 meV per atom
# Theoretical density: 10.7 g/cm³
# Raw total energy: -95.53 eV for the cell shown

=====

# Pa2InOs (PBE, relaxed)
data_Pa2InOs
_cell_length_a 3.6744
_cell_length_b 3.6744
_cell_length_c 6.9048
_cell_angle_alpha 90.00
_cell_angle_beta 90.00
_cell_angle_gamma 90.00
_space_group_name_H-M_alt 'P 4/m m m'
_space_group_IT_number 123
_space_group_name_Hall '-P 4 2'
loop_
_atom_site_label
_atom_site_fract_x
_atom_site_fract_y
_atom_site_fract_z
Pa1 0.0000 0.0000 0.2011
In1 0.5000 0.5000 0.5000
Os1 0.5000 0.5000 0.0000
# Fermi-level density of states: 6.25 states/eV/f.u.
# Excess energy over the best structure of this formula in the dataset: 0.0 meV per atom
# Theoretical density: 13.7 g/cm³
# Raw total energy: -33.31 eV for the cell shown

=====

# PaInOs (PBE, relaxed)
data_PaInOs
_cell_length_a 4.8200
_cell_length_b 4.8200
_cell_length_c 21.7016
_cell_angle_alpha 90.00
_cell_angle_beta 90.00
_cell_angle_gamma 120.00
_space_group_name_H-M_alt 'R -3 m'
_space_group_IT_number 166
_space_group_name_Hall '-R 3 2"'
loop_
_atom_site_label
_atom_site_fract_x
_atom_site_fract_y
_atom_site_fract_z
Pa1 0.0000 0.0000 0.2133
In1 0.0000 0.0000 0.3701
Os1 0.0000 0.0000 0.0928
# Fermi-level density of states: 2.42 states/eV/f.u.
# Theoretical density: 12.2 g/cm³
# Raw total energy: -140.36 eV for the cell shown

=====

# ScPaInOs (PBE, relaxed)
data_ScPaInOs
_cell_length_a 3.2170
_cell_length_b 3.2170
_cell_length_c 8.2295
_cell_angle_alpha 90.00
_cell_angle_beta 90.00
_cell_angle_gamma 90.00
_space_group_name_H-M_alt 'P 4 m m'
_space_group_IT_number 99
_space_group_name_Hall 'P 4 -2'
loop_
_atom_site_label
_atom_site_fract_x
_atom_site_fract_y
_atom_site_fract_z
Sc1 0.0000 0.0000 0.0000
Pa1 0.0000 0.0000 0.4218
In1 0.5000 0.5000 0.7271
Os1 0.5000 0.5000 0.2003
# Fermi-level density of states: 4.86 states/eV/f.u.
# Theoretical density: 11.3 g/cm³
# Raw total energy: -31.34 eV for the cell shown

=====

# InOsPb2 (PBE, relaxed)
data_InOsPb2
_cell_length_a 9.9082
_cell_length_b 3.2821
_cell_length_c 7.0576
_cell_angle_alpha 90.00
_cell_angle_beta 111.50
_cell_angle_gamma 90.00
_space_group_name_H-M_alt 'C 1 m 1'
_space_group_IT_number 8
_space_group_name_Hall 'C -2y'
loop_
_atom_site_label
_atom_site_fract_x
_atom_site_fract_y
_atom_site_fract_z
In1 0.0000 0.0000 0.0000
Os1 0.2250 0.5000 0.9972
Pb1 0.1742 0.0000 0.6556
Pb2 0.3458 0.0000 0.3437
# Fermi-level density of states: 3.05 states/eV/f.u.
# Theoretical density: 11.2 g/cm³
# Raw total energy: -39.48 eV for the cell shown

=====

Q: Among the records above, which one has the highest theoretical density?
A: number 3

=====

Q: What is the Fermi-level density of states in the seventh record?
A: 4.86 states/eV/f.u.

=====

Q: Which value of theoretical density does entry 1 give?
A: 5.0 g/cm³